[1]
First-principles (PBE) data for a relaxed structure of K3Dy3TiO8, as listed in Alexandria via LeMat-Bulk.

The density of states at the Fermi level is 0.0000 states/eV/atom. The uncorrected formation energy is -2.831 eV/atom. As for the total moment: 0.00 μB per atom.

It has space group R-3m (No. 166, hexagonal axes), with a = 6.7310 Å, b = 6.7310 Å, c = 18.8761 Å, α = 90.00°, β = 90.00° and γ = 120.00°. The inequivalent atoms are K at (0.0000, 0.5000, 0.0000), Dy at (0.0000, 0.5000, 0.5000), Ti at (0.0000, 0.0000, 0.5000), O at (0.0000, 0.0000, 0.2279) and O at (0.0343, 0.5172, 0.2234).

---

[2]
First-principles (PBE) data for a relaxed structure of HfAg6F12, as listed in Alexandria via LeMat-Bulk.

The density of states at the Fermi level is 0.6241 states/eV/atom. The uncorrected formation energy is -1.804 eV/atom. As for the total moment: 0.11 μB per atom.

It has space group R-3 (No. 148, hexagonal axes), with a = 10.4497 Å, b = 10.4497 Å, c = 9.8078 Å, α = 90.00°, β = 90.00° and γ = 120.00°. The inequivalent atoms are Hf at (0.0000, 0.0000, 0.0000), Ag at (0.0353, 0.2453, 0.6452), F at (0.0133, 0.2293, 0.3966) and F at (0.0371, 0.1737, 0.8835).